1.
Computed, not measured: a relaxed structure of HgBIr2 at the PBE-GGA level of DFT.

a = 4.8108 Å, b = 4.8108 Å, c = 7.2964 Å
α = 70.75°, β = 70.75°, γ = 90.00°
Last column: nearest neighbours and their distance in Å.
Sites, in units of the cell vectors:
B 0.5000 0.5000 0.0000  4 Ir 2.07
B 0.2500 0.7500 0.5000  4 Ir 2.07
Ir 0.4735 0.1250 0.2500  2 B 2.07
Ir 0.2765 0.6250 0.2500  2 B 2.07
Ir 0.3750 0.5265 0.7500  2 B 2.07
Ir 0.8750 0.7235 0.7500  2 B 2.07
Hg 0.0000 0.0000 0.0000  4 Ir 2.79
Hg 0.7500 0.2500 0.5000  4 Ir 2.79

Results
**Polymorph energy (0 for the lowest one)**: 0 meV/atom
**Calculated volume**: 149.4 Å³/cell



2.
Computed, not measured: a relaxed structure of HgB3Ir at the PBE-GGA level of DFT.

a = 4.2127 Å, b = 4.2127 Å, c = 4.2127 Å
α = 90.00°, β = 90.00°, γ = 90.00°
Last column: nearest neighbours and their distance in Å.
Sites, in units of the cell vectors:
B 0.0000 0.5000 0.0000  2 Ir 2.11
B 0.0000 0.0000 0.5000  2 Ir 2.11
B 0.5000 0.0000 0.0000  2 Ir 2.11
Ir 0.0000 0.0000 0.0000  6 B 2.11
Hg 0.5000 0.5000 0.5000  12 B 2.98

Results
**Polymorph energy (0 for the lowest one)**: 0 meV/atom
**Calculated volume**: 74.8 Å³/cell



3.
Computed, not measured: a relaxed structure of HgBIr3 at the PBE-GGA level of DFT.

a = 4.9589 Å, b = 4.9589 Å, c = 4.9589 Å
α = 90.00°, β = 90.00°, γ = 90.00°
Last column: nearest neighbours and their distance in Å.
Sites, in units of the cell vectors:
B 0.5000 0.5000 0.5000  12 Ir 3.51
Ir 0.0000 0.5000 0.0000  2 Hg 2.48
Ir 0.0000 0.0000 0.5000  2 Hg 2.48
Ir 0.5000 0.0000 0.0000  2 Hg 2.48
Hg 0.0000 0.0000 0.0000  6 Ir 2.48

Results
**Polymorph energy (0 for the lowest one)**: 3106 meV/atom
**Calculated volume**: 121.9 Å³/cell



4.
Computed, not measured: a relaxed structure of HgB3Ir at the PBE-GGA level of DFT.

a = 4.1962 Å, b = 4.1962 Å, c = 4.1962 Å
α = 90.00°, β = 90.00°, γ = 90.00°
Last column: nearest neighbours and their distance in Å.
Sites, in units of the cell vectors:
B 0.0000 0.5000 0.0000  2 Hg 2.10
B 0.0000 0.0000 0.5000  2 Hg 2.10
B 0.5000 0.0000 0.0000  2 Hg 2.10
Ir 0.5000 0.5000 0.5000  12 B 2.97
Hg 0.0000 0.0000 0.0000  6 B 2.10

Results
**Polymorph energy (0 for the lowest one)**: 1774 meV/atom
**Calculated volume**: 73.9 Å³/cell



One value per record, in order, for magnetic moment: 0.00 0.00 0.35 0.00 μB/atom.
One value per record, in order, for DFT formation energy: 659 873 3346 2647 meV/atom.